(1)
Computed, not measured: crystalline Nd6TlTe2Se3 at its relaxed geometry at the PBE level of DFT. Values from VASP.

Computed properties:
* uncorrected energy: -5.432 eV per atom
* formation energy (no corrections): -17.48 eV/f.u.
* space group: C2/m, No. 12

Quantum ESPRESSO input file:
```
&SYSTEM
  ibrav = 0, nat = 12, ntyp = 4
/
ATOMIC_SPECIES
Nd 144.24 Nd.upf
Te 127.60 Te.upf
Se 78.96 Se.upf
Tl 204.38 Tl.upf
CELL_PARAMETERS angstrom
4.282 0.000 0.000
0.000 8.914 0.323
-2.141 -2.566 9.217
ATOMIC_POSITIONS crystal
Nd 0.669 0.068 0.337
Nd 0.331 0.932 0.663
Nd 0.659 0.600 0.318
Nd 0.341 0.400 0.682
Nd 0.996 0.260 0.992
Nd 0.004 0.740 0.008
Te 0.169 0.338 0.337
Te 0.831 0.662 0.663
Se 0.832 0.166 0.663
Se 0.168 0.834 0.337
Se 0.500 0.500 0.000
Tl 0.500 0.000 0.000
```


(2)
Computed, not measured: crystalline BaPmSi at its relaxed geometry at the PBE level of DFT. Values from VASP.

Computed properties:
* uncorrected energy: -4.406 eV per atom
* formation energy (no corrections): -1.12 eV/f.u.
* space group: P4/nmm, No. 129
* E above lowest polymorph: 0.0000 eV/atom

Quantum ESPRESSO input file:
```
&SYSTEM
  ibrav = 0, nat = 6, ntyp = 3
/
ATOMIC_SPECIES
Si 28.09 Si.upf
Ba 137.33 Ba.upf
Pm 145.00 Pm.upf
CELL_PARAMETERS angstrom
5.142 0.000 0.000
0.000 5.142 0.000
0.000 0.000 7.778
ATOMIC_POSITIONS crystal
Si 0.000 0.500 0.298
Si 0.500 0.000 0.702
Ba 0.000 0.500 0.868
Ba 0.500 0.000 0.132
Pm 0.000 0.000 0.500
Pm 0.500 0.500 0.500
```


(3)
Computed, not measured: crystalline Tc6IrRu2 at its relaxed geometry at the PBE level of DFT. Values from VASP.

Computed properties:
* uncorrected energy: -9.883 eV per atom
* space group: C2/c, No. 15
* E_form: 0.07 eV/atom

Quantum ESPRESSO input file:
```
&SYSTEM
  ibrav = 0, nat = 18, ntyp = 3
/
ATOMIC_SPECIES
Tc 98.00 Tc.upf
Ru 101.07 Ru.upf
Ir 192.22 Ir.upf
CELL_PARAMETERS angstrom
-3.599 -5.444 -1.908
3.822 -5.454 -2.028
2.099 -4.038 5.051
ATOMIC_POSITIONS crystal
Tc 0.347 0.947 0.599
Tc 0.653 0.053 0.401
Tc 0.599 0.447 0.347
Tc 0.981 0.685 0.820
Tc 0.019 0.315 0.180
Tc 0.059 0.856 0.388
Tc 0.820 0.185 0.981
Tc 0.180 0.815 0.019
Tc 0.612 0.644 0.941
Tc 0.388 0.356 0.059
Tc 0.401 0.553 0.653
Tc 0.941 0.144 0.612
Ru 0.206 0.434 0.405
Ru 0.405 0.934 0.206
Ru 0.595 0.066 0.794
Ru 0.794 0.566 0.595
Ir 0.826 0.750 0.174
Ir 0.174 0.250 0.826
```


(4)
Computed, not measured: crystalline KBaH4Rh at its relaxed geometry at the PBE level of DFT. Values from VASP.

Computed properties:
* uncorrected energy: -3.721 eV per atom
* space group: I4mm, No. 107

Quantum ESPRESSO input file:
```
&SYSTEM
  ibrav = 0, nat = 7, ntyp = 4
/
ATOMIC_SPECIES
K 39.10 K.upf
H 1.01 H.upf
Ba 137.33 Ba.upf
Rh 102.91 Rh.upf
CELL_PARAMETERS angstrom
4.048 0.000 0.000
0.000 4.048 0.000
-2.024 -2.024 6.330
ATOMIC_POSITIONS crystal
K 0.360 0.360 0.720
H 0.864 0.864 0.728
H 0.139 0.139 0.279
H 0.500 0.000 0.001
H 0.000 0.500 0.001
Ba 0.633 0.633 0.267
Rh 0.003 0.003 0.006
```